# KLiMn2 PBE relaxed
# Calculated density, g cm⁻³: 2.651
# N(E_F), states/eV per atom: 0.6912
# ΔH_f (0 K), eV/atom: 0.7640
data_KLiMn2
_chemical_formula_sum 'K1 Li1 Mn2'
_symmetry_space_group_name_H-M 'P 1 2/m 1'
_symmetry_Int_Tables_number 10
_cell_length_a 2.8669
_cell_length_b 4.7054
_cell_length_c 7.3669
_cell_angle_alpha 90.00
_cell_angle_beta 100.61
_cell_angle_gamma 90.00
loop_
_symmetry_equiv_pos_as_xyz
'x,y,z'
'-x,-y,-z'
'-x,y,-z'
'x,-y,z'
loop_
_atom_site_label
_atom_site_fract_x
_atom_site_fract_y
_atom_site_fract_z
_atom_site_occupancy
K1 0.0000 0.0000 0.0000 1
Li1 0.0000 0.0000 0.5000 1
Mn1 0.3394 0.5000 0.6477 1